[1]
Entry from Alexandria: a relaxed structure of Mo4OsPb (GGA-PBE).

a = 5.2668 Å, b = 5.2668 Å, c = 5.2668 Å
α = 60.00°, β = 60.00°, γ = 60.00°
Atoms (fractional coordinates):
Os1 0.7500 0.7500 0.7500
Pb1 0.0000 0.0000 0.0000
Mo1 0.8783 0.3739 0.3739
Mo2 0.3739 0.8783 0.3739
Mo3 0.3739 0.3739 0.3739
Mo4 0.3739 0.3739 0.8783

Values from the calculation:
**Electronic total energy**: -54.43 eV per cell
**Formation energy from the elements**: 0.639 eV/atom
**V**: 103.3 Å³/cell

=====

[2]
Entry from Alexandria: a relaxed structure of Pr2Dy6HoTm (GGA-PBE).

a = 9.7122 Å, b = 8.7708 Å, c = 8.7708 Å
α = 118.10°, β = 94.66°, γ = 94.66°
Atoms (fractional coordinates):
Dy1 0.8809 0.2926 0.5031
Tm1 0.7500 0.5934 0.4066
Tm2 0.2500 0.4066 0.5934
Pr1 0.0423 0.2969 0.1938
Dy2 0.1191 0.7074 0.4969
Dy3 0.6884 0.0206 0.5763
Pr2 0.9577 0.7031 0.8062
Dy4 0.0573 0.1253 0.7444
Dy5 0.3116 0.9794 0.4237
Ho1 0.2500 0.9826 0.0174
Pr3 0.5423 0.1938 0.2969
Dy6 0.8116 0.4237 0.9794
Dy7 0.3809 0.5031 0.2926
Pr4 0.4577 0.8062 0.7031
Dy8 0.6191 0.4969 0.7074
Dy9 0.9427 0.8747 0.2556
Dy10 0.5573 0.7444 0.1253
Ho2 0.7500 0.0174 0.9826
Dy11 0.1884 0.5763 0.0206
Dy12 0.4427 0.2556 0.8747

Values from the calculation:
**Electronic total energy**: -90.11 eV per cell
**Formation energy from the elements**: 0.117 eV/atom
**V**: 650.8 Å³/cell

=====

[3]
Entry from Alexandria: a relaxed structure of MnZn2Pt2 (GGA-PBE).

a = 2.8024 Å, b = 3.9117 Å, c = 7.0087 Å
α = 73.80°, β = 90.00°, γ = 90.00°
Atoms (fractional coordinates):
Zn1 0.0000 0.1944 0.6113
Zn2 0.0000 0.8056 0.3887
Mn1 0.0000 0.0000 0.0000
Pt1 0.5000 0.6093 0.7815
Pt2 0.5000 0.3907 0.2185

Values from the calculation:
**Electronic total energy**: -25.67 eV per cell
**Formation energy from the elements**: -0.375 eV/atom
**Energy above the lowest structure with this stoichiometry**: 0.0 meV/atom
**V**: 73.8 Å³/cell

=====

[4]
Entry from Alexandria: a relaxed structure of MoPt2Au (GGA-PBE).

a = 2.7987 Å, b = 2.7987 Å, c = 8.2192 Å
α = 90.00°, β = 90.00°, γ = 89.98°
Atoms (fractional coordinates):
Mo1 0.5000 0.5000 0.7596
Pt1 0.0000 0.0000 0.9907
Au1 0.0000 0.0000 0.5051
Pt2 0.5000 0.5000 0.2446

Values from the calculation:
**Electronic total energy**: -26.50 eV per cell
**Formation energy from the elements**: -0.078 eV/atom
**Energy above the lowest structure with this stoichiometry**: 154.5 meV/atom
**V**: 64.4 Å³/cell